A relaxed AcCuSb crystal, computed with PBE.

The structure in POSCAR format:
```
AcCuSb
1.0
-3.146 2.510 2.248
-3.259 -1.818 -2.530
1.204 -1.963 3.876
Cu Ac Sb
1 1 1
Cartesian
-0.799 -1.503 2.109
-3.872 -0.190 1.107
-0.530 0.423 0.379
```

Energy = -4.842 eV per atom
M_tot = 0.00 μB/atom
Raw formation energy = -0.733 eV/atom
Fermi-level density of states = 2.58 states/eV per cell
Excess energy over the best structure of this formula in the dataset = 0 meV per atom
Space-group type = No. 156